The following is a PBE-GGA calculation of crystalline TbCe4 at its relaxed geometry, from Alexandria via LeMat-Bulk.

As for the offset from the most stable computed form: 0 meV per atom. The calculation puts the formation energy from the elements at 0.0777 eV/atom. As for the symmetry: I4/m (87). As for the density of states at the Fermi level: 2.629 states/eV per atom.

Lattice parameters (Å, degrees): 4.778 5.879 5.879 80.49 66.02 66.02
Fractional positions:
Ce: 0.596 0.602 0.206
Ce: 0.404 0.398 0.794
Ce: 0.802 0.794 0.602
Tb: 0.000 0.000 0.000
Ce: 0.198 0.206 0.398



The following is a PBE-GGA calculation of crystalline LaCoW3 at its relaxed geometry, from Alexandria via LeMat-Bulk.

As for the offset from the most stable computed form: 2042 meV per atom. The calculation puts the formation energy from the elements at 3.2354 eV/atom. As for the symmetry: Pm-3m (221). As for the density of states at the Fermi level: 1.256 states/eV per atom.

Lattice parameters (Å, degrees): 4.742 4.742 4.742 90.00 90.00 90.00
Fractional positions:
Co: 0.500 0.500 0.500
W: 0.000 0.500 0.000
W: 0.500 0.000 0.000
La: 0.000 0.000 0.000
W: 0.000 0.000 0.500



The following is a PBE-GGA calculation of crystalline HgP2 at its relaxed geometry, from Alexandria via LeMat-Bulk.

The calculation puts the formation energy from the elements at 0.6639 eV/atom. As for the symmetry: Fd-3m (227). As for the density of states at the Fermi level: 0.396 states/eV per atom.

Lattice parameters (Å, degrees): 5.390 5.390 5.390 60.00 60.00 60.00
Fractional positions:
P: 0.625 0.125 0.125
Hg: 0.500 0.500 0.500
P: 0.125 0.625 0.125
Hg: 0.750 0.750 0.750
P: 0.125 0.125 0.125
P: 0.125 0.125 0.625



The following is a PBE-GGA calculation of crystalline Pr2ZnPdAu2 at its relaxed geometry, from Alexandria via LeMat-Bulk.

The calculation puts the formation energy from the elements at -0.6602 eV/atom. As for the symmetry: Ibam (72). As for the density of states at the Fermi level: 0.740 states/eV per atom.

Lattice parameters (Å, degrees): 6.150 6.125 8.557 110.97 111.06 90.00
Fractional positions:
Au: 0.405 0.626 0.251
Pd: 0.000 0.750 0.000
Au: 0.153 0.874 0.749
Pr: 0.620 0.842 0.684
Au: 0.847 0.126 0.251
Zn: 0.500 0.250 0.000
Pd: 0.000 0.250 0.000
Pr: 0.936 0.658 0.316
Pr: 0.380 0.158 0.316
Zn: 0.500 0.750 0.000
Pr: 0.064 0.342 0.684
Au: 0.595 0.374 0.749



The following is a PBE-GGA calculation of crystalline LiEr3Zn8 at its relaxed geometry, from Alexandria via LeMat-Bulk.

The calculation puts the formation energy from the elements at -0.3018 eV/atom. As for the symmetry: R3m (160). As for the density of states at the Fermi level: 0.440 states/eV per atom.

Lattice parameters (Å, degrees): 5.369 5.369 9.289 73.20 73.20 60.00
Fractional positions:
Zn: 0.938 0.439 0.685
Zn: 0.687 0.687 0.938
Er: 0.378 0.378 0.867
Zn: 0.438 0.936 0.189
Zn: 0.936 0.438 0.189
Er: 0.503 0.503 0.492
Zn: 0.938 0.938 0.685
Li: 0.873 0.873 0.382
Er: 0.995 0.995 0.015
Zn: 0.439 0.938 0.685
Zn: 0.438 0.438 0.189
Zn: 0.188 0.188 0.436



The following is a PBE-GGA calculation of crystalline La2MgZnRu at its relaxed geometry, from Alexandria via LeMat-Bulk.

As for the offset from the most stable computed form: 12 meV per atom. The calculation puts the formation energy from the elements at -0.1206 eV/atom. As for the symmetry: P4/mmm (123). As for the density of states at the Fermi level: 0.700 states/eV per atom.

Lattice parameters (Å, degrees): 5.352 5.352 5.184 90.00 90.00 90.00
Fractional positions:
Mg: 0.000 0.000 0.500
Ru: 0.000 0.000 0.000
La: 0.000 0.500 0.000
Zn: 0.500 0.500 0.500
La: 0.500 0.000 0.000



The following is a PBE-GGA calculation of crystalline Hg12Se5I3 at its relaxed geometry, from Alexandria via LeMat-Bulk.

As for the symmetry: Ia-3d (230). As for the density of states at the Fermi level: 0.369 states/eV per atom. The raw formation energy is 3 meV per atom.

Lattice parameters (Å, degrees): 15.324 15.324 15.324 109.47 109.47 109.47
Fractional positions:
I: 0.250 0.125 0.375
Hg: 0.557 0.574 0.369
Hg: 0.312 0.517 0.443
I: 0.375 0.750 0.625
Se: 0.375 0.125 0.750
Hg: 0.688 0.205 0.631
Hg: 0.926 0.295 0.483
Se: 0.125 0.750 0.375
Se: 0.000 0.000 0.500
Se: 0.625 0.750 0.875
Hg: 0.057 0.188 0.483
Hg: 0.557 0.983 0.688
Se: 0.625 0.875 0.250
I: 0.625 0.250 0.375
I: 0.125 0.875 0.750
I: 0.125 0.250 0.875
Se: 0.125 0.375 0.250
Hg: 0.688 0.483 0.557
Hg: 0.369 0.295 0.312
Se: 0.875 0.625 0.750
Se: 0.375 0.250 0.125
I: 0.750 0.375 0.125
Hg: 0.943 0.812 0.517
Hg: 0.312 0.795 0.369
Hg: 0.869 0.057 0.574
Hg: 0.295 0.926 0.983
Hg: 0.205 0.517 0.574
I: 0.750 0.875 0.625
Se: 0.000 0.500 0.000
Hg: 0.574 0.557 0.869
Hg: 0.943 0.131 0.926
Hg: 0.812 0.943 0.017
Hg: 0.017 0.443 0.812
Hg: 0.057 0.869 0.074
Se: 0.250 0.375 0.625
Se: 0.875 0.250 0.625
I: 0.875 0.125 0.250
Se: 0.750 0.625 0.375
Hg: 0.074 0.705 0.517
Se: 0.000 0.000 0.000
Hg: 0.074 0.369 0.057
Hg: 0.869 0.812 0.795
Hg: 0.517 0.312 0.943
I: 0.250 0.625 0.875
Hg: 0.188 0.131 0.705
Hg: 0.705 0.631 0.188
Se: 0.500 0.000 0.500
Hg: 0.926 0.631 0.943
Hg: 0.983 0.426 0.295
Se: 0.750 0.125 0.875
Hg: 0.369 0.074 0.557
Hg: 0.795 0.483 0.426
Hg: 0.426 0.983 0.795
Hg: 0.795 0.312 0.869
Se: 0.250 0.875 0.125
Hg: 0.443 0.426 0.631
Hg: 0.017 0.574 0.705
Hg: 0.631 0.705 0.688
Hg: 0.426 0.443 0.131
I: 0.375 0.625 0.250
Hg: 0.188 0.057 0.983
Hg: 0.517 0.205 0.074
Hg: 0.205 0.688 0.131
Se: 0.500 0.500 0.000
Hg: 0.295 0.369 0.812
Hg: 0.443 0.017 0.312
Hg: 0.483 0.795 0.926
Hg: 0.131 0.943 0.426
Hg: 0.131 0.188 0.205
I: 0.625 0.375 0.750
Hg: 0.812 0.869 0.295
Se: 0.500 0.000 0.000
Hg: 0.483 0.688 0.057
Hg: 0.574 0.017 0.205
Se: 0.000 0.500 0.500
Hg: 0.705 0.074 0.017
Hg: 0.983 0.557 0.188
I: 0.875 0.750 0.125
Se: 0.500 0.500 0.500
Hg: 0.631 0.926 0.443



The following is a PBE-GGA calculation of crystalline Ac8Ir3Se4Br at its relaxed geometry, from Alexandria via LeMat-Bulk.

As for the symmetry: C2/m (12). As for the density of states at the Fermi level: 0.787 states/eV per atom. The raw formation energy is -1350 meV per atom.

Lattice parameters (Å, degrees): 8.810 9.167 8.811 118.73 120.00 90.00
Fractional positions:
Ac: 0.746 0.269 0.023
Ac: 0.723 0.731 0.977
Ac: 0.254 0.729 0.508
Ir: 0.500 0.500 0.000
Se: 0.000 0.000 0.000
Se: 0.500 0.000 0.000
Br: 0.000 0.500 0.000
Ac: 0.254 0.731 0.977
Ac: 0.740 0.721 0.480
Se: 0.000 0.000 0.500
Se: 0.500 0.000 0.500
Ac: 0.277 0.269 0.023
Ac: 0.746 0.271 0.492
Ir: 0.500 0.500 0.500
Ir: 0.000 0.500 0.500
Ac: 0.260 0.279 0.520



The following is a PBE-GGA calculation of crystalline Ba2NiTeAs at its relaxed geometry, from Alexandria via LeMat-Bulk.

As for the offset from the most stable computed form: 0 meV per atom. As for the symmetry: P4/mmm (123). As for the density of states at the Fermi level: 0.373 states/eV per atom. The raw formation energy is -942 meV per atom.

Lattice parameters (Å, degrees): 6.174 6.174 4.350 90.00 90.00 90.00
Fractional positions:
Ba: 0.500 0.000 0.000
Ni: 0.000 0.000 0.000
Te: 0.500 0.500 0.500
Ba: 0.000 0.500 0.000
As: 0.000 0.000 0.500



The following is a PBE-GGA calculation of crystalline CsCo2AuBr8 at its relaxed geometry, from Alexandria via LeMat-Bulk.

As for the symmetry: R-3 (148). As for the density of states at the Fermi level: 1.259 states/eV per atom. The raw formation energy is -481 meV per atom.

Lattice parameters (Å, degrees): 6.772 6.772 10.835 71.79 71.79 60.00
Fractional positions:
Co: 0.744 0.744 0.767
Br: 0.950 0.609 0.162
Au: 0.000 0.000 0.000
Br: 0.179 0.179 0.464
Br: 0.721 0.050 0.838
Br: 0.279 0.950 0.162
Br: 0.050 0.391 0.838
Co: 0.256 0.256 0.233
Cs: 0.500 0.500 0.500
Br: 0.391 0.721 0.838
Br: 0.821 0.821 0.536
Br: 0.609 0.279 0.162



The following is a PBE-GGA calculation of crystalline LaHf4S8 at its relaxed geometry, from Alexandria via LeMat-Bulk.

As for the symmetry: R-3m (166). As for the density of states at the Fermi level: 0.512 states/eV per atom. The raw formation energy is -1710 meV per atom.

Lattice parameters (Å, degrees): 7.226 7.226 8.010 63.19 63.19 60.00
Fractional positions:
S: 0.253 0.762 0.222
S: 0.747 0.238 0.778
S: 0.262 0.262 0.213
S: 0.762 0.253 0.222
Hf: 0.500 0.000 0.000
S: 0.238 0.238 0.778
S: 0.238 0.747 0.778
S: 0.762 0.762 0.222
Hf: 0.000 0.500 0.000
Hf: 0.500 0.500 0.000
La: 0.500 0.500 0.500
Hf: 0.000 0.000 0.000
S: 0.738 0.738 0.787



The following is a PBE-GGA calculation of crystalline TlGeSb2N at its relaxed geometry, from Alexandria via LeMat-Bulk.

As for the symmetry: P4/mmm (123). As for the density of states at the Fermi level: 0.213 states/eV per atom. The raw formation energy is 643 meV per atom.

Lattice parameters (Å, degrees): 4.621 5.416 4.621 90.00 90.00 90.00
Fractional positions:
Ge: 0.500 0.500 0.500
Sb: 0.000 0.000 0.500
Tl: 0.000 0.500 0.000
Sb: 0.500 0.000 0.000
N: 0.000 0.000 0.000